# 1
Material: Zn2TcAs
Method: DFT, GGA-PBEsol
State: relaxed

a = 3.6609 Å, b = 3.6609 Å, c = 4.2681 Å
α = 90.00°, β = 90.00°, γ = 90.00°
Space group P4/mmm (No. 123)
Asymmetric unit:
Zn1 0.0000 0.5000 0.0000 (multiplicity 2)
Tc1 0.0000 0.0000 0.5000 (multiplicity 1)
As1 0.5000 0.5000 0.5000 (multiplicity 1)

energy of formation from the pure elements = 20 kJ/mol of atoms

# 2
Material: LiNb2Cl
Method: DFT, GGA-PBEsol
State: relaxed

a = 6.2119 Å, b = 6.2119 Å, c = 6.2119 Å
α = 90.00°, β = 90.00°, γ = 90.00°
Space group Fm-3m (No. 225)
Asymmetric unit:
Li1 0.0000 0.0000 0.0000 (multiplicity 4)
Nb1 0.2500 0.2500 0.2500 (multiplicity 8)
Cl1 0.0000 0.0000 0.5000 (multiplicity 4)

formation energy without anion corrections = 668 meV/atom

# 3
Material: Li2Cu2F5
Method: DFT, GGA-PBEsol
State: relaxed

a = 10.6947 Å, b = 2.9313 Å, c = 11.9701 Å
α = 90.00°, β = 90.00°, γ = 90.00°
Space group Pna2_1 (No. 33)
Asymmetric unit:
Li1 0.0313 0.2232 0.0000 (multiplicity 4)
Li2 0.2193 0.2313 0.6500 (multiplicity 4)
Cu1 0.0042 0.2262 0.2616 (multiplicity 4)
Cu2 0.2457 0.1671 0.3889 (multiplicity 4)
F1 0.0647 0.2678 0.4189 (multiplicity 4)
F2 0.0854 0.7608 0.6233 (multiplicity 4)
F3 0.1240 0.2341 0.8267 (multiplicity 4)
F4 0.1637 0.7059 0.0271 (multiplicity 4)
F5 0.1883 0.2188 0.2309 (multiplicity 4)

formation energy without anion corrections = -2011 meV/atom

# 4
Material: TcRhW2
Method: DFT, GGA-PBEsol
State: relaxed

a = 3.8593 Å, b = 3.8593 Å, c = 7.9071 Å
α = 90.00°, β = 90.00°, γ = 90.00°
Space group I-4m2 (No. 119)
Asymmetric unit:
Tc1 0.0000 0.0000 0.0000 (multiplicity 2)
Rh1 0.0000 0.5000 0.2500 (multiplicity 2)
W1 0.0000 0.0000 0.5000 (multiplicity 2)
W2 0.0000 0.5000 0.7500 (multiplicity 2)

energy of formation from the pure elements = 5 kJ/mol of atoms

# 5
Material: Ni2SbRu
Method: DFT, GGA-PBEsol
State: relaxed

a = 8.6173 Å, b = 2.9552 Å, c = 4.4142 Å
α = 90.00°, β = 103.85°, γ = 90.00°
Space group C2/m (No. 12)
Asymmetric unit:
Ni1 0.2501 0.0000 0.2354 (multiplicity 4)
Sb1 0.0000 0.0000 0.5000 (multiplicity 2)
Ru1 0.0000 0.5000 0.0000 (multiplicity 2)

formation energy without anion corrections = 144 meV/atom

# 6
Material: CdCoAu2
Method: DFT, GGA-PBEsol
State: relaxed

a = 9.3390 Å, b = 2.8522 Å, c = 4.8850 Å
α = 90.00°, β = 101.95°, γ = 90.00°
Space group Cm (No. 8)
Asymmetric unit:
Cd1 0.0000 0.0000 0.0000 (multiplicity 2)
Co1 0.2432 0.5000 0.2631 (multiplicity 2)
Au1 0.2413 0.0000 0.7506 (multiplicity 2)
Au2 0.4813 0.0000 0.4776 (multiplicity 2)

energy of formation from the pure elements = 14 kJ/mol of atoms

# 7
Material: KTa2Te
Method: DFT, GGA-PBEsol
State: relaxed

a = 3.4265 Å, b = 4.2172 Å, c = 7.6583 Å
α = 90.00°, β = 96.13°, γ = 90.00°
Space group Pm (No. 6)
Asymmetric unit:
K1 0.0000 0.0000 0.0000 (multiplicity 1)
Ta1 0.3701 0.0000 0.4509 (multiplicity 1)
Ta2 0.8613 0.5000 0.4209 (multiplicity 1)
Te1 0.4304 0.5000 0.7089 (multiplicity 1)

formation energy without anion corrections = 352 meV/atom

# 8
Material: CsGe2Au2
Method: DFT, GGA-PBEsol
State: relaxed

a = 4.7278 Å, b = 4.7278 Å, c = 12.5596 Å
α = 90.00°, β = 90.00°, γ = 90.00°
Space group I4/mmm (No. 139)
Asymmetric unit:
Cs1 0.0000 0.0000 0.0000 (multiplicity 2)
Ge1 0.0000 0.5000 0.2500 (multiplicity 4)
Au1 0.0000 0.0000 0.3292 (multiplicity 4)

energy of formation from the pure elements = -10 kJ/mol of atoms

Repeat the sixth record exactly.
Material: CdCoAu2
Method: DFT, GGA-PBEsol
State: relaxed

a = 9.3390 Å, b = 2.8522 Å, c = 4.8850 Å
α = 90.00°, β = 101.95°, γ = 90.00°
Space group Cm (No. 8)
Asymmetric unit:
Cd1 0.0000 0.0000 0.0000 (multiplicity 2)
Co1 0.2432 0.5000 0.2631 (multiplicity 2)
Au1 0.2413 0.0000 0.7506 (multiplicity 2)
Au2 0.4813 0.0000 0.4776 (multiplicity 2)

energy of formation from the pure elements = 14 kJ/mol of atoms

What did the second record say?
Material: LiNb2Cl
Method: DFT, GGA-PBEsol
State: relaxed

a = 6.2119 Å, b = 6.2119 Å, c = 6.2119 Å
α = 90.00°, β = 90.00°, γ = 90.00°
Space group Fm-3m (No. 225)
Asymmetric unit:
Li1 0.0000 0.0000 0.0000 (multiplicity 4)
Nb1 0.2500 0.2500 0.2500 (multiplicity 8)
Cl1 0.0000 0.0000 0.5000 (multiplicity 4)

formation energy without anion corrections = 668 meV/atom